# 1
DFT (PBE) results for a relaxed structure of CaErBe2Si2.

Cell lengths 3.8897, 3.8897, 8.2436 Å; angles 90.00, 90.00, 120.00 degrees
With the nearest neighbours (Å) after each atom.
Element x y z (fractional)
Ca 0.0000 0.0000 0.0000  6 Si 3.12, 6 Be 3.15
Er 0.0000 0.0000 0.5000  6 Be 2.95, 6 Si 2.98
Be 0.3333 0.6667 0.7315  3 Si 2.25
Be 0.6667 0.3333 0.2685  3 Si 2.25
Si 0.3333 0.6667 0.2632  3 Be 2.25
Si 0.6667 0.3333 0.7368  3 Be 2.25

uncorrected formation energy = -0.496 eV/atom
space group = P-3m1
total DFT energy (no corrections) = -27.84 eV/cell



# 2
DFT (PBE) results for a relaxed structure of Ca2EuBeO5.

Cell lengths 6.4982, 7.0924, 9.3181 Å; angles 90.00, 90.00, 90.00 degrees
With the nearest neighbours (Å) after each atom.
Element x y z (fractional)
Ca 0.5890 0.5233 0.8272  8 O 2.43-2.70, 1 Be 2.71
Ca 0.4110 0.4767 0.1728  8 O 2.43-2.70, 1 Be 2.71
Ca 0.0890 0.4767 0.6728  8 O 2.43-2.70, 1 Be 2.71
Ca 0.4110 0.0233 0.1728  8 O 2.43-2.70, 1 Be 2.71
Ca 0.9110 0.5233 0.3272  8 O 2.43-2.70, 1 Be 2.71
Ca 0.5890 0.9767 0.8272  8 O 2.43-2.70, 1 Be 2.71
Ca 0.9110 0.9767 0.3272  8 O 2.43-2.70, 1 Be 2.71
Ca 0.0890 0.0233 0.6728  8 O 2.43-2.70, 1 Be 2.71
Eu 0.0887 0.7500 0.9774  7 O 2.30-2.53
Eu 0.9113 0.2500 0.0226  7 O 2.30-2.53
Eu 0.5887 0.2500 0.5226  7 O 2.30-2.53
Eu 0.4113 0.7500 0.4774  7 O 2.30-2.53
Be 0.8158 0.7500 0.6033  4 O 1.62-1.65
Be 0.1842 0.2500 0.3967  4 O 1.62-1.65
Be 0.3158 0.2500 0.8967  4 O 1.62-1.65
Be 0.6842 0.7500 0.1033  4 O 1.62-1.65
O 0.3369 0.7500 0.7182  1 Eu 2.30, 4 Ca 2.51-2.56
O 0.6631 0.2500 0.2818  1 Eu 2.30, 4 Ca 2.51-2.56
O 0.8369 0.2500 0.7818  1 Eu 2.30, 4 Ca 2.51-2.56
O 0.1631 0.7500 0.2182  1 Eu 2.30, 4 Ca 2.51-2.56
O 0.8742 0.7500 0.7758  1 Be 1.65
O 0.1258 0.2500 0.2242  1 Be 1.65
O 0.3742 0.2500 0.7242  1 Be 1.65
O 0.6258 0.7500 0.2758  1 Be 1.65
O 0.0241 0.7500 0.5066  1 Be 1.63
O 0.9759 0.2500 0.4934  1 Be 1.63
O 0.5241 0.2500 0.9934  1 Be 1.63
O 0.4759 0.7500 0.0066  1 Be 1.63
O 0.6883 0.5589 0.5698  1 Be 1.62
O 0.3117 0.4411 0.4302  1 Be 1.62
O 0.1883 0.4411 0.9302  1 Be 1.62
O 0.3117 0.0589 0.4302  1 Be 1.62
O 0.8117 0.5589 0.0698  1 Be 1.62
O 0.6883 0.9411 0.5698  1 Be 1.62
O 0.8117 0.9411 0.0698  1 Be 1.62
O 0.1883 0.0589 0.9302  1 Be 1.62

uncorrected formation energy = -2.618 eV/atom
space group = Pnma
total DFT energy (no corrections) = -265.43 eV/cell



# 3
DFT (PBE) results for a relaxed structure of CaBe2F.

Cell lengths 4.6608, 4.6608, 4.6608 Å; angles 60.00, 60.00, 60.00 degrees
With the nearest neighbours (Å) after each atom.
Element x y z (fractional)
Be 0.2500 0.2500 0.2500  4 Ca 2.85, 4 F 2.85
Be 0.7500 0.7500 0.7500  4 F 2.85, 4 Ca 2.85
Ca 0.5000 0.5000 0.5000  8 Be 2.85
F 0.0000 0.0000 0.0000  8 Be 2.85

uncorrected formation energy = 0.412 eV/atom
space group = Fm-3m
total DFT energy (no corrections) = -9.68 eV/cell
ΔE to the lowest computed polymorph = 0.515 eV per atom



# 4
DFT (PBE) results for a relaxed structure of Ca2BeF6.

Cell lengths 8.7234, 6.8372, 6.8372 Å; angles 67.86, 58.49, 58.49 degrees
With the nearest neighbours (Å) after each atom.
Element x y z (fractional)
Ca 0.5060 0.3855 0.2945  6 F 2.27-2.44
Ca 0.9940 0.7055 0.6145  6 F 2.27-2.44
Ca 0.4940 0.6145 0.7055  6 F 2.27-2.44
Ca 0.0060 0.2945 0.3855  6 F 2.27-2.44
Be 0.2500 0.9643 0.0357  4 F 1.54-1.60
Be 0.7500 0.0357 0.9643  4 F 1.54-1.60
F 0.7044 0.4064 0.3993  3 Ca 2.27-2.30
F 0.7956 0.6007 0.5936  3 Ca 2.27-2.30
F 0.2956 0.5936 0.6007  3 Ca 2.27-2.30
F 0.2044 0.3993 0.4064  3 Ca 2.27-2.30
F 0.9302 0.0517 0.7207  1 Be 1.60
F 0.5698 0.2793 0.9483  1 Be 1.60
F 0.0698 0.9483 0.2793  1 Be 1.60
F 0.4302 0.7207 0.0517  1 Be 1.60
F 0.7493 0.0342 0.1913  1 Be 1.54
F 0.7507 0.8087 0.9658  1 Be 1.54
F 0.2507 0.9658 0.8087  1 Be 1.54
F 0.2493 0.1913 0.0342  1 Be 1.54

uncorrected formation energy = -3.617 eV/atom
space group = C2/c
total DFT energy (no corrections) = -103.02 eV/cell
ΔE to the lowest computed polymorph = 0.000 eV per atom



# 5
DFT (PBE) results for a relaxed structure of Ca3BeF.

Cell lengths 4.9007, 4.9007, 4.9007 Å; angles 90.00, 90.00, 90.00 degrees
With the nearest neighbours (Å) after each atom.
Element x y z (fractional)
Be 0.5000 0.5000 0.5000  12 Ca 3.47
Ca 0.0000 0.5000 0.0000  2 F 2.45
Ca 0.0000 0.0000 0.5000  2 F 2.45
Ca 0.5000 0.0000 0.0000  2 F 2.45
F 0.0000 0.0000 0.0000  6 Ca 2.45

uncorrected formation energy = -0.784 eV/atom
space group = Pm-3m
total DFT energy (no corrections) = -15.52 eV/cell
ΔE to the lowest computed polymorph = 0.000 eV per atom



# 6
DFT (PBE) results for a relaxed structure of CaBe3F.

Cell lengths 4.2291, 4.2291, 4.2291 Å; angles 90.00, 90.00, 90.00 degrees
With the nearest neighbours (Å) after each atom.
Element x y z (fractional)
Be 0.0000 0.5000 0.0000  2 F 2.11
Be 0.0000 0.0000 0.5000  2 F 2.11
Be 0.5000 0.0000 0.0000  2 F 2.11
Ca 0.5000 0.5000 0.5000  12 Be 2.99
F 0.0000 0.0000 0.0000  6 Be 2.11

uncorrected formation energy = 0.325 eV/atom
space group = Pm-3m
total DFT energy (no corrections) = -13.43 eV/cell
ΔE to the lowest computed polymorph = 0.000 eV per atom



# 7
DFT (PBE) results for a relaxed structure of CaBe3F.

Cell lengths 5.7281, 5.7281, 5.7281 Å; angles 90.00, 90.00, 90.00 degrees
With the nearest neighbours (Å) after each atom.
Element x y z (fractional)
Be 0.0000 0.5000 0.0000  2 Ca 2.86
Be 0.0000 0.0000 0.5000  2 Ca 2.86
Be 0.5000 0.0000 0.0000  2 Ca 2.86
Ca 0.0000 0.0000 0.0000  6 Be 2.86
F 0.5000 0.5000 0.5000  12 Be 4.05

uncorrected formation energy = 1.625 eV/atom
space group = Pm-3m
total DFT energy (no corrections) = -6.92 eV/cell
ΔE to the lowest computed polymorph = 1.300 eV per atom



# 8
DFT (PBE) results for a relaxed structure of CaBeF5.

Cell lengths 5.7407, 5.7407, 8.6293 Å; angles 114.06, 114.07, 83.91 degrees
With the nearest neighbours (Å) after each atom.
Element x y z (fractional)
Ca 0.5000 0.0000 0.0000  6 F 2.26-2.29
Ca 0.5000 0.0000 0.5000  6 F 2.26-2.29
Be 0.8917 0.6083 0.2500  4 F 1.55-1.56
Be 0.1083 0.3917 0.7500  4 F 1.55-1.56
F 0.7707 0.7216 0.1005  1 Be 1.56
F 0.1844 0.6799 0.3417  1 Be 1.55
F 0.4110 0.0889 0.2500  2 Ca 2.26
F 0.7784 0.7294 0.3995  1 Be 1.56
F 0.2216 0.2706 0.6005  1 Be 1.56
F 0.8201 0.3156 0.1583  1 Be 1.55
F 0.1799 0.6844 0.8417  1 Be 1.55
F 0.5890 0.9111 0.7500  2 Ca 2.26
F 0.8156 0.3201 0.6583  1 Be 1.55
F 0.2293 0.2784 0.8995  1 Be 1.56

uncorrected formation energy = -2.968 eV/atom
space group = C2/c
total DFT energy (no corrections) = -71.72 eV/cell



> The lowest total DFT energy (no corrections) belongs to which entry?

Ca2EuBeO5



> uncorrected formation energy of number 3 (CaBe2F)?

0.412 eV/atom



> Among the records above, which one has the lowest uncorrected formation energy?

Ca2BeF6